A plane-wave DFT calculation with PBE was carried out for a relaxed CePmPuBi crystal.

Its total energy is -7.4105 eV per atom.

It has space group F-43m (No. 216), with a = 7.765 Å, b = 7.765 Å, c = 7.765 Å, α = 90.00°, β = 90.00° and γ = 90.00°. The distinct sites, in fractional coordinates, are Ce at (0.000, 0.000, 0.000), Pm at (0.000, 0.000, 0.500), Pu at (0.250, 0.250, 0.250) and Bi at (0.250, 0.250, 0.750).


A plane-wave DFT calculation with PBE was carried out for a relaxed CePmSc2Bi4 crystal.

Its total energy is -5.6146 eV per atom.

It has space group P2/m (No. 10), with a = 7.641 Å, b = 4.445 Å, c = 7.698 Å, α = 90.00°, β = 109.56° and γ = 90.00°. The distinct sites, in fractional coordinates, are Ce at (0.000, 0.000, 0.000), Pm at (0.000, 0.500, 0.500), Sc at (0.500, 0.000, 0.500), Sc at (0.500, 0.500, 0.000), Bi at (0.271, 0.000, 0.757) and Bi at (0.271, 0.500, 0.257).


A plane-wave DFT calculation with PBE was carried out for a relaxed Ce2PmScBi5 crystal.

Its total energy is -4.6894 eV per atom.

It has space group P4/mmm (No. 123), with a = 5.625 Å, b = 5.625 Å, c = 11.504 Å, α = 90.00°, β = 90.00° and γ = 90.00°. The distinct sites, in fractional coordinates, are Ce at (0.000, 0.000, 0.207), Pm at (0.500, 0.500, 0.000), Sc at (0.500, 0.500, 0.500), Bi at (0.000, 0.000, 0.500), Bi at (0.000, 0.500, 0.000) and Bi at (0.500, 0.500, 0.262).


Number 1: ΔE_f -186 meV/atom, size of the total moment 8.5 μB/f.u.. Number 2: ΔE_f -756 meV/atom, size of the total moment 0.8 μB/f.u.. Number 3: ΔE_f 17 meV/atom, size of the total moment 2.0 μB/f.u..